Np (PBE, optimized geometry); total energy = -100.4 eV for the cell shown; density = 21.22 Mg/m³; calculated volume = 18.55 A^3/atom
1.0
5.2941 0.0000 0.0000
0.0000 5.2941 0.0000
0.0000 0.0000 5.2941
Np
8
direct
0.0000 0.0000 0.0000 Np
0.0000 0.2500 0.5000 Np
0.0000 0.7500 0.5000 Np
0.2500 0.5000 0.0000 Np
0.5000 0.0000 0.2500 Np
0.5000 0.0000 0.7500 Np
0.5000 0.5000 0.5000 Np
0.7500 0.5000 0.0000 Np